This record from Alexandria via LeMat-Bulk describes crystalline Ba3Ac3PrSe8 at its relaxed geometry. The functional is PBE.

## Properties
- VASP energy: -5.35 eV/atom
- Magnetization: 0.00 μB/f.u.
- D(E_F): 5.6 states/eV/f.u.

```
data_Ba3Ac3PrSe8
_chemical_formula_sum 'Ba9 Ac9 Pr3 Se24'
_space_group_name_H-M_alt 'R -3 m'
_space_group_IT_number 166
_space_group_name_Hall '-R 3 2"'
_cell_length_a 9.0146
_cell_length_b 9.0146
_cell_length_c 22.8179
_cell_angle_alpha 90.00
_cell_angle_beta 90.00
_cell_angle_gamma 120.00
loop_
_atom_site_label
_atom_site_type_symbol
_atom_site_fract_x
_atom_site_fract_y
_atom_site_fract_z
Ba1 Ba 0.0000 0.5000 0.0000
Ac1 Ac 0.0000 0.5000 0.5000
Pr1 Pr 0.0000 0.0000 0.5000
Se1 Se 0.0000 0.0000 0.2450
Se2 Se 0.0103 0.5052 0.2411
```